No. 1
Below is crystalline PrSmGe2Ir at its relaxed geometry, with properties calculated at the PBE-GGA level.

The value obtained for the calculated volume is 455.33 Å³ per cell. As for the final energy: -6.369 eV per atom.

It has space group C2/m (No. 12), with a = 11.023 Å, b = 4.376 Å, c = 10.606 Å, α = 90.00°, β = 117.13° and γ = 90.00°. The distinct sites, in fractional coordinates, are Pr at (0.005, 0.000, 0.330), Sm at (0.190, 0.000, 0.117), Ge at (0.014, 0.500, 0.884), Ge at (0.161, 0.500, 0.555) and Ir at (0.226, 0.500, 0.332).

No. 2
Below is crystalline NdDy2Mg3InGa2 at its relaxed geometry, with properties calculated at the PBE-GGA level.

The value obtained for the calculated volume is 433.47 Å³ per cell. As for the final energy: -3.508 eV per atom.

It has space group Amm2 (No. 38), with a = 4.585 Å, b = 12.865 Å, c = 7.349 Å, α = 90.00°, β = 90.00° and γ = 90.00°. The distinct sites, in fractional coordinates, are Nd at (0.000, 0.000, 0.000), Dy at (0.000, 0.219, 0.656), Mg at (0.500, 0.000, 0.687), Mg at (0.500, 0.125, 0.314), In at (0.000, 0.000, 0.444) and Ga at (0.500, 0.170, 0.937).

No. 3
Below is crystalline Cs2PuCu2Te4 at its relaxed geometry, with properties calculated at the PBE-GGA level.

The value obtained for the calculated volume is 641.97 Å³ per cell. As for the final energy: -4.608 eV per atom.

It has space group C222 (No. 21), with a = 6.517 Å, b = 15.121 Å, c = 6.515 Å, α = 90.00°, β = 90.00° and γ = 90.00°. The distinct sites, in fractional coordinates, are Cs at (0.250, 0.250, 0.249), Pu at (0.000, 0.000, 0.500), Cu at (0.000, 0.000, 0.000), Cu at (0.000, 0.500, 0.500) and Te at (0.229, 0.404, 0.771).

No. 4
Below is crystalline Nb4CdPN2 at its relaxed geometry, with properties calculated at the PBE-GGA level.

The value obtained for the calculated volume is 117.69 Å³ per cell. As for the final energy: -8.595 eV per atom.

It has space group P-6m2 (No. 187), with a = 3.2403 Å, b = 3.2403 Å, c = 12.9434 Å, α = 90.00°, β = 90.00° and γ = 120.00°. The distinct sites, in fractional coordinates, are Nb at (0.0000, 0.0000, 0.1343), Nb at (0.6667, 0.3333, 0.3112), Cd at (0.0000, 0.0000, 0.5000), P at (0.6667, 0.3333, 0.0000) and N at (0.3333, 0.6667, 0.2323).

No. 5
Below is crystalline HoZnHg at its relaxed geometry, with properties calculated at the PBE-GGA level.

The value obtained for the calculated volume is 284.38 Å³ per cell. The calculation puts the energy of formation at -228.7 meV/atom.

It has space group F-43m (No. 216), with a = 6.576 Å, b = 6.576 Å, c = 6.576 Å, α = 90.00°, β = 90.00° and γ = 90.00°. The distinct sites, in fractional coordinates, are Ho at (0.000, 0.000, 0.000), Zn at (0.250, 0.250, 0.750) and Hg at (0.000, 0.000, 0.500).

No. 6
Below is crystalline La2PrMg3Pd2Au at its relaxed geometry, with properties calculated at the PBE-GGA level.

The value obtained for the calculated volume is 434.96 Å³ per cell. As for the final energy: -4.320 eV per atom.

It has space group Amm2 (No. 38), with a = 4.210 Å, b = 13.428 Å, c = 7.694 Å, α = 90.00°, β = 90.00° and γ = 90.00°. The distinct sites, in fractional coordinates, are La at (0.000, 0.209, 0.000), Pr at (0.000, 0.000, 0.625), Mg at (0.500, 0.000, 0.965), Mg at (0.500, 0.119, 0.331), Pd at (0.500, 0.168, 0.710) and Au at (0.000, 0.000, 0.209).

No. 7
Below is crystalline LaTcPO at its relaxed geometry, with properties calculated at the PBE-GGA level.

The value obtained for the calculated volume is 161.81 Å³ per cell. As for the final energy: -7.672 eV per atom.

It has space group Pmc2_1 (No. 26), with a = 4.234 Å, b = 6.329 Å, c = 6.037 Å, α = 90.00°, β = 90.00° and γ = 90.00°. The distinct sites, in fractional coordinates, are La at (0.000, 0.223, 0.000), Tc at (0.500, 0.381, 0.578), P at (0.000, 0.250, 0.495) and O at (0.500, 0.342, 0.909).

No. 8
Below is crystalline ZrZnCoPb at its relaxed geometry, with properties calculated at the PBE-GGA level.

The value obtained for the calculated volume is 285.33 Å³ per cell. As for the final energy: -4.946 eV per atom.

It has space group F-43m (No. 216), with a = 6.583 Å, b = 6.583 Å, c = 6.583 Å, α = 90.00°, β = 90.00° and γ = 90.00°. The distinct sites, in fractional coordinates, are Zr at (0.000, 0.000, 0.000), Zn at (0.250, 0.250, 0.750), Co at (0.000, 0.000, 0.500) and Pb at (0.250, 0.250, 0.250).

No. 9
Below is crystalline Y4OsI4 at its relaxed geometry, with properties calculated at the PBE-GGA level.

The value obtained for the calculated volume is 1239.83 Å³ per cell. As for the final energy: -5.795 eV per atom.

It has space group C2/c (No. 15), with a = 13.817 Å, b = 13.665 Å, c = 6.570 Å, α = 90.00°, β = 91.75° and γ = 90.00°. The distinct sites, in fractional coordinates, are Y at (0.071, 0.161, 0.495), Y at (0.160, 0.071, 0.012), Os at (0.000, 0.002, 0.750), I at (0.112, 0.296, 0.064) and I at (0.205, 0.393, 0.572).

No. 10
Below is crystalline LiGa2NiIr4 at its relaxed geometry, with properties calculated at the PBE-GGA level.

The value obtained for the calculated volume is 106.80 Å³ per cell. As for the final energy: -6.388 eV per atom.

It has space group P4/mmm (No. 123), with a = 4.230 Å, b = 4.230 Å, c = 5.969 Å, α = 90.00°, β = 90.00° and γ = 90.00°. The distinct sites, in fractional coordinates, are Li at (0.000, 0.000, 0.000), Ga at (0.000, 0.000, 0.500), Ga at (0.500, 0.500, 0.000), Ni at (0.500, 0.500, 0.500) and Ir at (0.000, 0.500, 0.252).

No. 11
Below is crystalline TbGdCo2B2N2 at its relaxed geometry, with properties calculated at the PBE-GGA level.

The value obtained for the calculated volume is 91.72 Å³ per cell. As for the final energy: -7.761 eV per atom.

It has space group P4mm (No. 99), with a = 3.508 Å, b = 3.508 Å, c = 7.455 Å, α = 90.00°, β = 90.00° and γ = 90.00°. The distinct sites, in fractional coordinates, are Tb at (0.000, 0.000, 0.000), Gd at (0.500, 0.500, 0.339), Co at (0.000, 0.500, 0.669), B at (0.000, 0.000, 0.521), B at (0.500, 0.500, 0.817), N at (0.000, 0.000, 0.318) and N at (0.500, 0.500, 0.019).

No. 12
Below is crystalline Tb2Hg at its relaxed geometry, with properties calculated at the PBE-GGA level.

The value obtained for the calculated volume is 682.47 Å³ per cell. The calculation puts the energy of formation at 263.8 meV/atom.

It has space group Fd-3m (No. 227, origin choice 2), with a = 8.804 Å, b = 8.804 Å, c = 8.804 Å, α = 90.00°, β = 90.00° and γ = 90.00°. The distinct sites, in fractional coordinates, are Tb at (0.000, 0.000, 0.000) and Hg at (0.125, 0.125, 0.625).